Entry 1:
DFT (meta-GGA SCAN) results for KZrCl at its PBEsol-relaxed geometry.

The calculation puts the polymorph energy (0 for the lowest one) at 1299.6 meV/atom. For the electronic total energy, the calculation gives -14.977 eV per atom. Its formation energy (no corrections) is 2.074 eV per formula unit.

abc: 5.096 5.096 5.096
angles: 60.00 60.00 60.00
Last column: magnetic moment on the atom in μB.
Fractional coordinates of all 3 atoms:
K  0.500  0.500  0.500  0.13
Zr  0.250  0.250  0.250  1.99
Cl  0.000  0.000  0.000  0.00

***

Entry 2:
DFT (meta-GGA SCAN) results for KZr2Cl at its PBEsol-relaxed geometry.

The calculation puts the polymorph energy (0 for the lowest one) at 0.0 meV/atom. For the electronic total energy, the calculation gives -19.919 eV per atom. Its formation energy (no corrections) is -1.973 eV per formula unit.

abc: 3.190 3.190 9.609
angles: 90.00 90.00 90.00
Fractional coordinates of all 4 atoms:
K  0.500  0.500  0.702
Zr  0.000  0.000  0.052
Zr  0.500  0.500  0.267
Cl  0.000  0.000  0.478

***

no.,magnetization (Bohr magnetons per cell)
1,3.8
2,0.0